DFT (GGA+U) results for crystalline Mn2Tl3CrF9 at its relaxed geometry.

Geometry as POSCAR:
```
Mn2Tl3CrF9
1.0
6.0845 0.0000 0.0000
-3.0423 5.2694 0.0000
0.0000 0.0000 7.4435
Cr Tl Mn F
1 3 2 9
Direct
0.0000 0.0000 0.5000
0.0000 0.0000 0.0000
0.3333 0.6667 0.6659
0.6667 0.3333 0.3341
0.3333 0.6667 0.1677
0.6667 0.3333 0.8323
0.5000 0.0000 0.0000
0.3313 0.1657 0.6651
0.8343 0.1657 0.6651
0.6687 0.8343 0.3349
0.5000 0.5000 0.0000
0.1657 0.8343 0.3349
0.0000 0.5000 0.0000
0.1657 0.3313 0.3349
0.8343 0.6687 0.6651
```

Summary:
Electronic total energy   -80.6 eV/cell